(1)
This record from Alexandria via LeMat-Bulk describes a geometry-optimized ErTcGe2 structure. The functional is PBE-GGA.

Summary:
The value obtained for the total energy is -6.51 eV/atom. For the energy above the most stable polymorph in this dataset, the calculation gives 0.0257 eV per atom. Its crystal system is orthorhombic. The formation energy is -45.6 kJ/mol of atoms.

Cell lengths 6.8161, 4.3499, 10.2106 Å; angles 90.00, 90.00, 90.00 degrees
Atoms (fractional coordinates):
Er1 0.2317 0.2500 0.1858
Er2 0.2683 0.7500 0.6858
Er3 0.7317 0.2500 0.3142
Er4 0.7683 0.7500 0.8142
Tc1 0.0962 0.2500 0.9066
Tc2 0.4038 0.7500 0.4066
Tc3 0.5962 0.2500 0.5934
Tc4 0.9038 0.7500 0.0934
Ge1 0.0324 0.7500 0.3272
Ge2 0.2396 0.7500 0.9853
Ge3 0.2604 0.2500 0.4853
Ge4 0.4676 0.2500 0.8272
Ge5 0.5324 0.7500 0.1728
Ge6 0.7396 0.7500 0.5147
Ge7 0.7604 0.2500 0.0147
Ge8 0.9676 0.2500 0.6728


(2)
This record from Alexandria via LeMat-Bulk describes a geometry-optimized YGa5Tc2 structure. The functional is PBE-GGA.

Summary:
The value obtained for the total energy is -5.52 eV/atom. Its crystal system is orthorhombic. The formation energy is -22.2 kJ/mol of atoms.

Cell lengths 6.7309, 6.7309, 6.7309 Å; angles 149.64, 107.23, 80.85 degrees
Atoms (fractional coordinates):
Y1 0.0000 0.0000 0.0000
Ga1 0.1390 0.3515 0.7875
Ga2 0.4360 0.6485 0.7875
Ga3 0.5000 0.0000 0.5000
Ga4 0.5640 0.3515 0.2125
Ga5 0.8610 0.6485 0.2125
Tc1 0.2597 0.7597 0.5000
Tc2 0.7403 0.2403 0.5000


(3)
This record from Alexandria via LeMat-Bulk describes a geometry-optimized YNi2W structure. The functional is PBE-GGA.

Summary:
The value obtained for the total energy is -7.62 eV/atom. For the energy above the most stable polymorph in this dataset, the calculation gives 0.1955 eV per atom. Its crystal system is tetragonal. The formation energy is 12.2 kJ/mol of atoms.

Cell lengths 3.1650, 3.1650, 6.5028 Å; angles 90.00, 90.00, 90.00 degrees
Atoms (fractional coordinates):
Y1 0.0000 0.0000 0.0000
Ni1 0.0000 0.0000 0.4753
Ni2 0.5000 0.5000 0.2851
W1 0.5000 0.5000 0.6641


(4)
This record from Alexandria via LeMat-Bulk describes a geometry-optimized Dy2YC3 structure. The functional is PBE-GGA.

Summary:
The value obtained for the total energy is -7.29 eV/atom. Its crystal system is orthorhombic. The formation energy is -6.4 kJ/mol of atoms.

Cell lengths 6.9402, 6.9402, 6.9402 Å; angles 131.38, 86.73, 113.32 degrees
Atoms (fractional coordinates):
Dy1 0.2414 0.1684 0.0730
Dy2 0.4045 0.8316 0.5730
Dy3 0.5955 0.1684 0.4270
Dy4 0.7586 0.8316 0.9270
Y1 0.2261 0.4761 0.7500
Y2 0.7739 0.5239 0.2500
C1 0.0000 0.3802 0.3802
C2 0.0000 0.6198 0.6198
C3 0.5000 0.0000 0.0000
C4 0.5000 0.3802 0.8802
C5 0.5000 0.5000 0.5000
C6 0.5000 0.6198 0.1198


(5)
This record from Alexandria via LeMat-Bulk describes a geometry-optimized Li2Mg3Ag2 structure. The functional is PBE-GGA.

Summary:
The value obtained for the total energy is -2.20 eV/atom. Its crystal system is monoclinic. The formation energy is -15.3 kJ/mol of atoms.

Cell lengths 5.3420, 5.3420, 6.9194 Å; angles 96.20, 96.20, 41.84 degrees
Atoms (fractional coordinates):
Li1 0.1287 0.1287 0.4391
Li2 0.8713 0.8713 0.5609
Mg1 0.0000 0.0000 0.0000
Mg2 0.2786 0.2786 0.8340
Mg3 0.7214 0.7214 0.1660
Ag1 0.4331 0.4331 0.2863
Ag2 0.5669 0.5669 0.7137


(6)
This record from Alexandria via LeMat-Bulk describes a geometry-optimized BaYPd3 structure. The functional is PBE-GGA.

Summary:
The value obtained for the total energy is -4.95 eV/atom. For the energy above the most stable polymorph in this dataset, the calculation gives 0.0000 eV per atom. Its crystal system is cubic. The formation energy is -15.1 kJ/mol of atoms.

Cell lengths 5.2674, 5.2674, 5.2674 Å; angles 90.00, 90.00, 90.00 degrees
Atoms (fractional coordinates):
Ba1 0.0000 0.0000 0.0000
Y1 0.5000 0.5000 0.5000
Pd1 0.0000 0.5000 0.5000
Pd2 0.5000 0.0000 0.5000
Pd3 0.5000 0.5000 0.0000


(7)
This record from Alexandria via LeMat-Bulk describes a geometry-optimized CsNb3Hg structure. The functional is PBE-GGA.

Summary:
The value obtained for the total energy is -3.75 eV/atom. For the energy above the most stable polymorph in this dataset, the calculation gives 0.4086 eV per atom. Its crystal system is cubic. The formation energy is 243.8 kJ/mol of atoms.

Cell lengths 5.0257, 5.0257, 5.0257 Å; angles 90.00, 90.00, 90.00 degrees
Atoms (fractional coordinates):
Cs1 0.0000 0.0000 0.0000
Nb1 0.0000 0.0000 0.5000
Nb2 0.0000 0.5000 0.0000
Nb3 0.5000 0.0000 0.0000
Hg1 0.5000 0.5000 0.5000


(8)
This record from Alexandria via LeMat-Bulk describes a geometry-optimized BaSrY2Pd structure. The functional is PBE-GGA.

Summary:
The value obtained for the total energy is -4.46 eV/atom. For the energy above the most stable polymorph in this dataset, the calculation gives 0.0685 eV per atom. Its crystal system is tetragonal. The formation energy is -11.5 kJ/mol of atoms.

Cell lengths 5.6380, 5.6380, 6.2757 Å; angles 90.00, 90.00, 90.00 degrees
Atoms (fractional coordinates):
Ba1 0.0000 0.0000 0.0000
Sr1 0.5000 0.5000 0.0000
Y1 0.0000 0.5000 0.5000
Y2 0.5000 0.0000 0.5000
Pd1 0.0000 0.0000 0.5000


(9)
This record from Alexandria via LeMat-Bulk describes a geometry-optimized Sc2SnPt9 structure. The functional is PBE-GGA.

Summary:
The value obtained for the total energy is -6.77 eV/atom. Its crystal system is tetragonal. The formation energy is -81.6 kJ/mol of atoms.

Cell lengths 4.0198, 4.0198, 12.0967 Å; angles 90.00, 90.00, 90.00 degrees
Atoms (fractional coordinates):
Sc1 0.0000 0.0000 0.1639
Sc2 0.0000 0.0000 0.8361
Sn1 0.0000 0.0000 0.5000
Pt1 0.0000 0.5000 0.0000
Pt2 0.0000 0.5000 0.3287
Pt3 0.0000 0.5000 0.6713
Pt4 0.5000 0.0000 0.0000
Pt5 0.5000 0.0000 0.3287
Pt6 0.5000 0.0000 0.6713
Pt7 0.5000 0.5000 0.1656
Pt8 0.5000 0.5000 0.5000
Pt9 0.5000 0.5000 0.8344


(10)
This record from Alexandria via LeMat-Bulk describes a geometry-optimized Ac3TeH structure. The functional is PBE-GGA.

Summary:
The value obtained for the total energy is -4.24 eV/atom. Its crystal system is cubic.

Cell lengths 5.3257, 5.3257, 5.3257 Å; angles 90.00, 90.00, 90.00 degrees
Atoms (fractional coordinates):
Ac1 0.0000 0.0000 0.5000
Ac2 0.0000 0.5000 0.0000
Ac3 0.5000 0.0000 0.0000
Te1 0.5000 0.5000 0.5000
H1 0.0000 0.0000 0.0000


(11)
This record from Alexandria via LeMat-Bulk describes a geometry-optimized ZrGeB structure. The functional is PBE-GGA.

Summary:
The value obtained for the total energy is -6.72 eV/atom. Its crystal system is monoclinic. The formation energy is -10.6 kJ/mol of atoms.

Cell lengths 3.9204, 3.9204, 6.8850 Å; angles 106.06, 106.06, 90.53 degrees
Atoms (fractional coordinates):
Zr1 0.1235 0.1235 0.2532
Zr2 0.8765 0.8765 0.7468
Ge1 0.3510 0.3510 0.6954
Ge2 0.6490 0.6490 0.3046
B1 0.3368 0.3368 0.9998
B2 0.6632 0.6632 0.0002


(12)
This record from Alexandria via LeMat-Bulk describes a geometry-optimized Sr2Hg2Pd structure. The functional is PBE-GGA.

Summary:
The value obtained for the total energy is -2.12 eV/atom. For the energy above the most stable polymorph in this dataset, the calculation gives 0.2769 eV per atom. Its crystal system is tetragonal. The formation energy is -27.7 kJ/mol of atoms.

Cell lengths 6.0320, 6.0320, 6.0320 Å; angles 117.28, 117.28, 94.78 degrees
Atoms (fractional coordinates):
Sr1 0.2500 0.7500 0.5000
Sr2 0.7500 0.2500 0.5000
Hg1 0.1683 0.1683 0.0000
Hg2 0.8317 0.8317 0.0000
Pd1 0.5000 0.5000 0.0000